VASP calculation (PBE) on crystalline Tl2Cd2Ga15 at its relaxed geometry.

Properties
Space group ... R-3m, No. 166
DOS(E_F) ... 6.9 states/eV/f.u.
Magnetic moment ... 0.000 μB per formula unit
VASP energy ... -2.690 eV/atom

a b c (Å): 7.467 7.467 7.467
angles (deg): 80.52 80.52 80.52
Element x y z (fractional)
Tl: 0.657 0.657 0.657
Tl: 0.343 0.343 0.343
Cd: 0.893 0.893 0.893
Cd: 0.107 0.107 0.107
Ga: 0.000 0.500 0.000
Ga: 0.000 0.000 0.500
Ga: 0.500 0.000 0.000
Ga: 0.293 0.000 0.707
Ga: 0.707 0.293 0.000
Ga: 0.000 0.707 0.293
Ga: 0.293 0.707 0.000
Ga: 0.000 0.293 0.707
Ga: 0.707 0.000 0.293
Ga: 0.368 0.851 0.368
Ga: 0.368 0.368 0.851
Ga: 0.851 0.368 0.368
Ga: 0.632 0.149 0.632
Ga: 0.632 0.632 0.149
Ga: 0.149 0.632 0.632